No. 1
This record from Alexandria via LeMat-Bulk describes a geometry-optimized DyHoPbAu structure. The functional is PBE-GGA.

Calculated values
- total moment (μB per formula unit) = 0.642
- E (eV/atom) = -4.64
- ΔE_f (meV per atom) = -600
- calculated volume (Å³ per atom) = 25.5
- D(E_F) (states/eV/atom) = 0.934

a = 7.422 Å, b = 7.422 Å, c = 7.422 Å
α = 90.00°, β = 90.00°, γ = 90.00°
Element x y z (fractional)
1 Dy 0.000 0.000 0.000
2 Dy 0.000 0.500 0.500
3 Dy 0.500 0.000 0.500
4 Dy 0.500 0.500 0.000
5 Ho 0.000 0.000 0.500
6 Ho 0.000 0.500 0.000
7 Ho 0.500 0.000 0.000
8 Ho 0.500 0.500 0.500
9 Pb 0.250 0.250 0.250
10 Pb 0.250 0.750 0.750
11 Pb 0.750 0.250 0.750
12 Pb 0.750 0.750 0.250
13 Au 0.250 0.250 0.750
14 Au 0.250 0.750 0.250
15 Au 0.750 0.250 0.250
16 Au 0.750 0.750 0.750

No. 2
This record from Alexandria via LeMat-Bulk describes a geometry-optimized DyHoPtAu structure. The functional is PBE-GGA.

Calculated values
- total moment (μB per formula unit) = 0.000
- E (eV/atom) = -5.67
- ΔE_f (meV per atom) = -1045
- calculated volume (Å³ per atom) = 22.1
- D(E_F) (states/eV/atom) = 0.614
- polymorph energy (0 for the lowest one) (meV/atom) = 50

a = 7.074 Å, b = 7.074 Å, c = 7.074 Å
α = 90.00°, β = 90.00°, γ = 90.00°
Element x y z (fractional)
1 Dy 0.000 0.000 0.000
2 Dy 0.000 0.500 0.500
3 Dy 0.500 0.000 0.500
4 Dy 0.500 0.500 0.000
5 Ho 0.000 0.000 0.500
6 Ho 0.000 0.500 0.000
7 Ho 0.500 0.000 0.000
8 Ho 0.500 0.500 0.500
9 Pt 0.250 0.250 0.750
10 Pt 0.250 0.750 0.250
11 Pt 0.750 0.250 0.250
12 Pt 0.750 0.750 0.750
13 Au 0.250 0.250 0.250
14 Au 0.250 0.750 0.750
15 Au 0.750 0.250 0.750
16 Au 0.750 0.750 0.250

No. 3
This record from Alexandria via LeMat-Bulk describes a geometry-optimized DyHoPtAu structure. The functional is PBE-GGA.

Calculated values
- total moment (μB per formula unit) = 0.000
- E (eV/atom) = -5.72
- ΔE_f (meV per atom) = -1095
- calculated volume (Å³ per atom) = 23.0
- D(E_F) (states/eV/atom) = 0.516
- polymorph energy (0 for the lowest one) (meV/atom) = 0

a = 4.587 Å, b = 3.757 Å, c = 10.668 Å
α = 90.00°, β = 90.00°, γ = 90.00°
Element x y z (fractional)
1 Dy 0.000 0.000 0.000
2 Dy 0.000 0.500 0.500
3 Ho 0.500 0.000 0.724
4 Ho 0.500 0.500 0.224
5 Pt 0.000 0.000 0.271
6 Pt 0.000 0.500 0.771
7 Au 0.500 0.000 0.448
8 Au 0.500 0.500 0.948

No. 4
This record from Alexandria via LeMat-Bulk describes a geometry-optimized DyHoRuAu structure. The functional is PBE-GGA.

Calculated values
- total moment (μB per formula unit) = 0.000
- E (eV/atom) = -6.03
- ΔE_f (meV per atom) = -595
- calculated volume (Å³ per atom) = 21.3
- D(E_F) (states/eV/atom) = 0.520
- polymorph energy (0 for the lowest one) (meV/atom) = 70

a = 6.983 Å, b = 6.983 Å, c = 6.983 Å
α = 90.00°, β = 90.00°, γ = 90.00°
Element x y z (fractional)
1 Dy 0.000 0.000 0.000
2 Dy 0.000 0.500 0.500
3 Dy 0.500 0.000 0.500
4 Dy 0.500 0.500 0.000
5 Ho 0.000 0.000 0.500
6 Ho 0.000 0.500 0.000
7 Ho 0.500 0.000 0.000
8 Ho 0.500 0.500 0.500
9 Ru 0.250 0.250 0.750
10 Ru 0.250 0.750 0.250
11 Ru 0.750 0.250 0.250
12 Ru 0.750 0.750 0.750
13 Au 0.250 0.250 0.250
14 Au 0.250 0.750 0.750
15 Au 0.750 0.250 0.750
16 Au 0.750 0.750 0.250

No. 5
This record from Alexandria via LeMat-Bulk describes a geometry-optimized DyHoRuAu structure. The functional is PBE-GGA.

Calculated values
- total moment (μB per formula unit) = 0.000
- E (eV/atom) = -6.10
- ΔE_f (meV per atom) = -665
- calculated volume (Å³ per atom) = 21.4
- D(E_F) (states/eV/atom) = 0.633
- polymorph energy (0 for the lowest one) (meV/atom) = 0

a = 3.430 Å, b = 3.430 Å, c = 7.265 Å
α = 90.00°, β = 90.00°, γ = 90.00°
Element x y z (fractional)
1 Dy 0.000 0.000 0.000
2 Ho 0.000 0.000 0.540
3 Ru 0.500 0.500 0.769
4 Au 0.500 0.500 0.272

No. 6
This record from Alexandria via LeMat-Bulk describes a geometry-optimized Dy3AuI7 structure. The functional is PBE-GGA.

Calculated values
- total moment (μB per formula unit) = 0.002
- raw formation energy (eV per atom) = -1.17
- E (eV/atom) = -3.71
- calculated volume (Å³ per atom) = 43.2
- D(E_F) (states/eV/atom) = 0.612

a = 8.588 Å, b = 8.588 Å, c = 7.436 Å
α = 90.00°, β = 90.00°, γ = 120.00°
Element x y z (fractional)
1 Dy 0.007 0.503 0.000
2 Dy 0.497 0.503 0.000
3 Dy 0.497 0.993 0.000
4 Au 0.333 0.667 0.211
5 I 0.169 0.338 0.756
6 I 0.169 0.831 0.756
7 I 0.333 0.167 0.234
8 I 0.662 0.831 0.756
9 I 0.667 0.333 0.752
10 I 0.833 0.167 0.234
11 I 0.833 0.667 0.234